First-principles (PBE-GGA) data for a relaxed PSeS2F crystal, as listed in the Alexandria database.

Unit cell a=4.735 b=4.735 c=4.940 alpha=90.00 beta=90.00 gamma=90.00
Fractional coordinates of all 5 atoms:
1 P 0.000 0.000 0.000
2 Se 0.000 0.000 0.500
3 S 0.000 0.500 0.500
4 S 0.500 0.000 0.500
5 F 0.500 0.500 0.000

Results
**E above lowest polymorph**: 0 meV/atom
**N(E_F)**: 0.769 states/eV/atom


First-principles (PBE-GGA) data for a relaxed P2SeSF crystal, as listed in the Alexandria database.

Unit cell a=4.007 b=4.007 c=5.875 alpha=90.00 beta=90.00 gamma=90.00
Fractional coordinates of all 5 atoms:
1 P 0.000 0.500 0.000
2 P 0.500 0.000 0.000
3 Se 0.000 0.000 0.500
4 S 0.500 0.500 0.500
5 F 0.500 0.500 0.000

Results
**E above lowest polymorph**: 0 meV/atom
**N(E_F)**: 0.565 states/eV/atom


First-principles (PBE-GGA) data for a relaxed PSeS2F crystal, as listed in the Alexandria database.

Unit cell a=5.076 b=5.076 c=3.611 alpha=90.00 beta=90.00 gamma=90.00
Fractional coordinates of all 5 atoms:
1 P 0.000 0.000 0.000
2 Se 0.500 0.500 0.000
3 S 0.000 0.500 0.500
4 S 0.500 0.000 0.500
5 F 0.000 0.000 0.500

Results
**E above lowest polymorph**: 11 meV/atom
**N(E_F)**: 0.770 states/eV/atom


First-principles (PBE-GGA) data for a relaxed P2SeSF crystal, as listed in the Alexandria database.

Unit cell a=4.823 b=4.823 c=4.721 alpha=90.00 beta=90.00 gamma=90.00
Fractional coordinates of all 5 atoms:
1 P 0.000 0.500 0.000
2 P 0.500 0.000 0.000
3 Se 0.000 0.000 0.000
4 S 0.000 0.000 0.500
5 F 0.500 0.500 0.500

Results
**E above lowest polymorph**: 106 meV/atom
**N(E_F)**: 0.695 states/eV/atom


First-principles (PBE-GGA) data for a relaxed SiPS2F crystal, as listed in the Alexandria database.

Unit cell a=4.941 b=4.941 c=3.678 alpha=90.00 beta=90.00 gamma=90.00
Fractional coordinates of all 5 atoms:
1 Si 0.000 0.000 0.000
2 P 0.500 0.500 0.000
3 S 0.000 0.500 0.500
4 S 0.500 0.000 0.500
5 F 0.500 0.500 0.500

Results
**E above lowest polymorph**: 379 meV/atom
**N(E_F)**: 0.613 states/eV/atom


First-principles (PBE-GGA) data for a relaxed SiP2SF crystal, as listed in the Alexandria database.

Unit cell a=3.985 b=3.985 c=5.656 alpha=90.00 beta=90.00 gamma=90.00
Fractional coordinates of all 5 atoms:
1 Si 0.000 0.000 0.000
2 P 0.000 0.500 0.500
3 P 0.500 0.000 0.500
4 S 0.500 0.500 0.000
5 F 0.500 0.500 0.500

Results
**E above lowest polymorph**: 309 meV/atom
**N(E_F)**: 0.381 states/eV/atom


First-principles (PBE-GGA) data for a relaxed SiP2SF crystal, as listed in the Alexandria database.

Unit cell a=4.498 b=4.498 c=4.400 alpha=90.00 beta=90.00 gamma=90.00
Fractional coordinates of all 5 atoms:
1 Si 0.000 0.000 0.000
2 P 0.000 0.500 0.000
3 P 0.500 0.000 0.000
4 S 0.000 0.000 0.500
5 F 0.500 0.500 0.500

Results
**E above lowest polymorph**: 0 meV/atom
**N(E_F)**: 0.424 states/eV/atom


First-principles (PBE-GGA) data for a relaxed SiPS2F crystal, as listed in the Alexandria database.

Unit cell a=4.392 b=4.392 c=4.611 alpha=90.00 beta=90.00 gamma=90.00
Fractional coordinates of all 5 atoms:
1 Si 0.000 0.000 0.000
2 P 0.000 0.000 0.500
3 S 0.000 0.500 0.000
4 S 0.500 0.000 0.000
5 F 0.500 0.500 0.500

Results
**E above lowest polymorph**: 0 meV/atom
**N(E_F)**: 0.829 states/eV/atom


First-principles (PBE-GGA) data for a relaxed SnPS2F crystal, as listed in the Alexandria database.

Unit cell a=5.128 b=5.128 c=3.718 alpha=90.00 beta=90.00 gamma=90.00
Fractional coordinates of all 5 atoms:
1 Sn 0.000 0.000 0.000
2 P 0.500 0.500 0.000
3 S 0.000 0.500 0.500
4 S 0.500 0.000 0.500
5 F 0.500 0.500 0.500

Results
**E above lowest polymorph**: 0 meV/atom
**N(E_F)**: 0.688 states/eV/atom


First-principles (PBE-GGA) data for a relaxed SnPS2F crystal, as listed in the Alexandria database.

Unit cell a=4.943 b=4.943 c=5.307 alpha=90.00 beta=90.00 gamma=90.00
Fractional coordinates of all 5 atoms:
1 Sn 0.000 0.000 0.000
2 P 0.000 0.000 0.500
3 S 0.000 0.500 0.000
4 S 0.500 0.000 0.000
5 F 0.500 0.500 0.500

Results
**E above lowest polymorph**: 355 meV/atom
**N(E_F)**: 1.348 states/eV/atom


First-principles (PBE-GGA) data for a relaxed SrPS2F crystal, as listed in the Alexandria database.

Unit cell a=5.185 b=5.185 c=3.776 alpha=90.00 beta=90.00 gamma=90.00
Fractional coordinates of all 5 atoms:
1 Sr 0.000 0.000 0.000
2 P 0.500 0.500 0.000
3 S 0.000 0.500 0.500
4 S 0.500 0.000 0.500
5 F 0.500 0.500 0.500

Results
**E above lowest polymorph**: 0 meV/atom
**N(E_F)**: 0.535 states/eV/atom


First-principles (PBE-GGA) data for a relaxed SrPS2F crystal, as listed in the Alexandria database.

Unit cell a=5.764 b=5.764 c=6.057 alpha=90.00 beta=90.00 gamma=90.00
Fractional coordinates of all 5 atoms:
1 Sr 0.000 0.000 0.000
2 P 0.000 0.000 0.500
3 S 0.000 0.500 0.000
4 S 0.500 0.000 0.000
5 F 0.500 0.500 0.500

Results
**E above lowest polymorph**: 996 meV/atom
**N(E_F)**: 1.039 states/eV/atom


Number 6 is which compound?
SiP2SF


Number 4 is which compound?
P2SeSF